No. 1
A relaxed RbCr3Se6 crystal, computed with PBE.

Geometry as extended XYZ:
```
20
Lattice="3.633 0.000 0.000 0.000 11.644 -4.157 0.000 -0.271 11.569" Properties=species:S:1:pos:R:3 pbc="T T T"
Se 2.724 6.936 1.768
Se 2.724 3.554 8.631
Se 0.908 7.820 -1.220
Se 0.908 2.617 2.894
Se 2.724 8.757 4.518
Se 0.908 10.010 1.480
Se 0.908 9.949 7.263
Se 0.908 0.373 8.696
Se 2.724 11.001 -1.285
Se 2.724 1.425 0.148
Se 2.724 1.364 5.932
Se 0.908 4.438 5.643
Rb 0.908 4.480 -0.053
Rb 2.724 6.894 7.464
Cr 0.908 8.188 2.942
Cr 0.908 2.508 7.346
Cr 2.724 3.186 4.470
Cr 2.724 11.004 5.827
Cr 0.908 0.369 1.584
Cr 2.724 8.865 0.065
```

Summary:
Formation energy from raw total energies, meV/atom: -571
Calculated total energy, eV per atom: -5.6453
Density, g cm⁻³: 4.895

---

No. 2
A relaxed RbCr2Se2 crystal, computed with PBE.

Geometry as extended XYZ:
```
5
Lattice="3.759 0.000 0.000 0.000 3.759 0.000 1.879 1.879 7.585" Properties=species:S:1:pos:R:3 pbc="T T T"
Cr 3.759 1.879 3.792
Cr 1.879 3.759 3.792
Rb 0.000 0.000 0.000
Se 1.879 1.879 2.240
Se 3.759 3.759 5.344
```

Summary:
Formation energy from raw total energies, meV/atom: -435
Calculated total energy, eV per atom: -5.8721
Density, g cm⁻³: 5.383

---

No. 3
A relaxed RbCrSe2 crystal, computed with PBE.

Geometry as extended XYZ:
```
4
Lattice="0.655 -4.090 3.076 -2.285 -0.143 4.624 -3.919 -3.249 0.842" Properties=species:S:1:pos:R:3 pbc="T T T"
Rb -2.774 -3.741 4.271
Cr 0.000 0.000 0.000
Se -4.162 -5.612 6.407
Se -1.387 -1.871 2.136
```

Summary:
Formation energy from raw total energies, meV/atom: -15
Calculated total energy, eV per atom: -4.4049
Density, g cm⁻³: 5.049

---

No. 4
A relaxed Rb2CrSe4 crystal, computed with PBE.

Geometry as extended XYZ:
```
28
Lattice="-5.944 0.161 -4.111 3.799 -7.510 -5.787 -5.440 -8.555 7.530" Properties=species:S:1:pos:R:3 pbc="T T T"
Se -5.892 -4.984 -1.210
Se -1.996 -1.189 -0.339
Se -1.692 -10.920 -1.159
Se -5.346 -9.924 4.163
Se 1.304 -9.224 -2.288
Se -5.589 -14.715 -2.029
Se -8.888 -6.680 -0.080
Se -1.629 -9.145 -4.316
Se -1.556 -7.239 -1.212
Se -5.061 -12.093 0.445
Se -6.029 -8.665 -1.156
Se 0.408 -3.890 -0.785
Se -5.956 -6.759 1.948
Se -2.238 -5.980 -6.531
Se -7.993 -12.013 -1.584
Se -2.524 -3.811 -2.813
Rb -8.018 -10.207 1.659
Rb -2.416 -14.379 -0.247
Rb -4.493 -11.407 -3.484
Rb -4.270 -6.855 -3.628
Rb -3.092 -4.497 1.116
Rb 0.433 -5.696 -4.027
Rb -5.168 -1.525 -2.121
Rb -3.315 -9.049 1.260
Cr -0.912 -9.128 -2.217
Cr -6.580 -13.372 -0.543
Cr -1.004 -2.532 -1.825
Cr -6.673 -6.775 -0.151
```

Summary:
Formation energy from raw total energies, meV/atom: -759
Calculated total energy, eV per atom: -4.4010
Density, g cm⁻³: 3.838

---

No. 5
A relaxed Rb4CrSe5 crystal, computed with PBE.

Geometry as extended XYZ:
```
10
Lattice="0.453 0.249 5.442 6.769 -5.600 2.439 5.912 6.662 1.949" Properties=species:S:1:pos:R:3 pbc="T T T"
Se 7.372 4.758 7.474
Se 10.540 0.069 4.679
Se 0.226 0.124 2.718
Se 5.773 -3.441 2.490
Se 2.605 1.248 5.285
Rb 8.068 -2.346 4.985
Rb 5.076 3.662 4.959
Rb 3.354 -0.955 2.567
Rb 9.789 2.271 7.376
Cr 0.407 0.224 4.896
```

Summary:
Formation energy from raw total energies, meV/atom: -738
Calculated total energy, eV per atom: -3.8296
Density, g cm⁻³: 3.166

---

No. 6
A relaxed RbCr4Se6 crystal, computed with PBE.

Geometry as extended XYZ:
```
22
Lattice="-3.717 0.694 0.286 1.222 -1.171 -6.429 -3.400 -19.401 2.889" Properties=species:S:1:pos:R:3 pbc="T T T"
Cr -4.109 -11.996 0.848
Cr -0.962 -3.175 -4.804
Cr -0.306 -0.978 -1.602
Cr -4.933 -16.703 1.549
Cr -1.787 -7.882 -4.103
Cr -4.154 -10.706 -2.873
Cr -5.590 -18.900 -1.653
Cr -1.742 -9.172 -0.382
Rb -2.978 -15.104 -2.056
Rb -2.918 -4.774 -1.199
Se -1.254 -6.956 0.582
Se -3.645 -8.301 -2.097
Se -1.320 -5.459 -3.921
Se -4.641 -12.922 -3.837
Se -2.250 -11.577 -1.158
Se -3.558 -9.353 1.587
Se -5.359 -17.017 -3.228
Se -1.859 0.347 0.143
Se -4.575 -14.419 0.666
Se -2.473 -1.613 -3.093
Se -0.536 -2.861 -0.028
Se -3.422 -18.265 -0.162
```

Summary:
Formation energy from raw total energies, meV/atom: -491
Calculated total energy, eV per atom: -5.9794
Density, g cm⁻³: 5.296